The following is a PBE-GGA calculation of a relaxed structure of TiZn2W, from Alexandria.

Structure (extended XYZ):
```
8
Lattice="-1.857 1.857 9.717 1.857 -1.857 9.717 1.857 1.857 -9.717" Properties=species:S:1:pos:R:3 pbc="T T T"
Ti 0.000 0.000 0.000
Ti 0.000 1.857 4.859
Zn 0.929 -0.886 7.288
Zn 0.971 0.929 2.429
Zn 0.929 2.743 -2.429
Zn 0.886 0.929 12.147
W 1.857 0.000 4.859
W 0.000 0.000 9.717
```

The calculation puts the calculated volume at 16.8 Å³/atom. The calculation puts the formation energy from the elements at 0.53 eV/atom. The value obtained for the density of states at the Fermi level is 6.03 states/eV/cell.

***

The following is a PBE-GGA calculation of a relaxed structure of LiSbS2, from Alexandria.

Structure (extended XYZ):
```
4
Lattice="1.647 0.951 8.532 -1.647 0.951 8.532 0.000 -1.902 8.532" Properties=species:S:1:pos:R:3 pbc="T T T"
Li 0.000 0.000 0.000
Sb 0.000 0.000 12.797
S 0.000 0.000 10.179
S 0.000 0.000 15.416
```

The value obtained for the uncorrected formation energy is -0.117 eV per atom. The calculation puts the calculated volume at 20.1 Å³/atom. The value obtained for the density of states at the Fermi level is 3.17 states/eV/cell.

***

The following is a PBE-GGA calculation of a relaxed structure of KSr2Te2, from Alexandria.

Structure (extended XYZ):
```
10
Lattice="9.177 0.000 0.000 0.000 9.177 0.000 0.000 0.000 4.460" Properties=species:S:1:pos:R:3 pbc="T T T"
K 0.000 0.000 0.000
K 4.588 4.588 0.000
Sr 1.384 3.204 2.230
Sr 3.204 7.793 2.230
Sr 5.973 1.384 2.230
Sr 7.793 5.973 2.230
Te 1.390 5.979 0.000
Te 3.198 1.390 0.000
Te 5.979 7.787 0.000
Te 7.787 3.198 0.000
```

The energy relative to the lowest polymorph listed for this composition comes out at 0 meV/atom. The value obtained for the uncorrected formation energy is -1.218 eV per atom. The calculation puts the calculated volume at 37.6 Å³/atom. The value obtained for the density of states at the Fermi level is 1.46 states/eV/cell.

***

The following is a PBE-GGA calculation of a relaxed structure of TbTiHg6, from Alexandria.

Structure (extended XYZ):
```
8
Lattice="2.989 1.726 7.907 -2.989 1.726 7.907 0.000 -3.452 7.907" Properties=species:S:1:pos:R:3 pbc="T T T"
Tb 0.000 0.000 0.000
Ti 0.000 0.000 11.861
Hg 0.000 -1.693 5.430
Hg -1.466 0.846 5.430
Hg -1.466 -0.846 18.292
Hg 1.466 0.846 5.430
Hg 1.466 -0.846 18.292
Hg 0.000 1.693 18.292
```

The calculation puts the calculated volume at 30.6 Å³/atom. The calculation puts the formation energy from the elements at 0.29 eV/atom. The value obtained for the density of states at the Fermi level is 8.12 states/eV/cell.

***

Listing mass density for the structures above in their given order: 8.98, 3.99, 4.15, 9.57 g/cm³.